1.
Here is a relaxed structure of Hf2TiMnI from Alexandria via LeMat-Bulk. Energies are from PBE.

Cell: 4.817 4.817 4.756 Å, 90.00 90.00 90.00°
Space group P4/mmm (No. 123)
Inequivalent atoms, fractional coordinates:
Hf  0.000  0.500  0.000
Ti  0.000  0.000  0.500
Mn  0.500  0.500  0.000
I  0.500  0.500  0.500

Values from the calculation:
Its uncorrected formation energy is 0.915 eV/atom.

=====

2.
Here is a relaxed structure of HfMo2I from Alexandria via LeMat-Bulk. Energies are from PBE.

Cell: 6.624 6.624 6.624 Å, 90.00 90.00 90.00°
Space group Fm-3m (No. 225)
Inequivalent atoms, fractional coordinates:
Hf  0.000  0.000  0.000
Mo  0.250  0.250  0.250
I  0.000  0.000  0.500

Values from the calculation:
The calculation puts the polymorph energy (0 for the lowest one) at 0.0 kJ per mole of atoms. Its uncorrected formation energy is 0.679 eV/atom.

=====

3.
Here is a relaxed structure of Hf3MoI from Alexandria via LeMat-Bulk. Energies are from PBE.

Cell: 5.105 5.105 5.105 Å, 90.00 90.00 90.00°
Space group Pm-3m (No. 221)
Inequivalent atoms, fractional coordinates:
Hf  0.000  0.000  0.500
Mo  0.000  0.000  0.000
I  0.500  0.500  0.500

Values from the calculation:
The calculation puts the polymorph energy (0 for the lowest one) at 0.0 kJ per mole of atoms. Its uncorrected formation energy is 0.788 eV/atom.

=====

What did the second record say?
Here is a relaxed structure of HfMo2I from Alexandria via LeMat-Bulk. Energies are from PBE.

Cell: 6.624 6.624 6.624 Å, 90.00 90.00 90.00°
Space group Fm-3m (No. 225)
Inequivalent atoms, fractional coordinates:
Hf  0.000  0.000  0.000
Mo  0.250  0.250  0.250
I  0.000  0.000  0.500

Values from the calculation:
The calculation puts the polymorph energy (0 for the lowest one) at 0.0 kJ per mole of atoms. Its uncorrected formation energy is 0.679 eV/atom.

=====

What did the second record say?
Here is a relaxed structure of HfMo2I from Alexandria via LeMat-Bulk. Energies are from PBE.

Cell: 6.624 6.624 6.624 Å, 90.00 90.00 90.00°
Space group Fm-3m (No. 225)
Inequivalent atoms, fractional coordinates:
Hf  0.000  0.000  0.000
Mo  0.250  0.250  0.250
I  0.000  0.000  0.500

Values from the calculation:
The calculation puts the polymorph energy (0 for the lowest one) at 0.0 kJ per mole of atoms. Its uncorrected formation energy is 0.679 eV/atom.